(1)
# LiMoOs2 (PBE, optimized geometry)
# V = 55.0 Å³/f.u.
# Energy of formation from the pure elements = 0.199 eV/atom
# Spin magnetization = 0.00 μB per formula unit
# ΔE to the lowest computed polymorph = 1.66 kcal/mol of atoms
# Raw total energy = -8.60 eV per atom
data_LiMoOs2
_cell_length_a 3.082
_cell_length_b 3.082
_cell_length_c 5.796
_cell_angle_alpha 90.00
_cell_angle_beta 90.00
_cell_angle_gamma 90.00
_space_group_name_H-M_alt 'P 4/m m m'
_space_group_IT_number 123
_space_group_name_Hall '-P 4 2'
loop_
_atom_site_label
_atom_site_fract_x
_atom_site_fract_y
_atom_site_fract_z
Li1 0.000 0.000 0.000
Mo1 0.000 0.000 0.500
Os1 0.500 0.500 0.233


(2)
# NpAg2I8 (PBE, optimized geometry)
# V = 538.2 Å³/f.u.
# Spin magnetization = 3.00 μB per formula unit
# E_form (uncorrected) = -428 meV per atom
# Raw total energy = -3.25 eV per atom
data_NpAg2I8
_cell_length_a 12.525
_cell_length_b 12.568
_cell_length_c 7.240
_cell_angle_alpha 90.00
_cell_angle_beta 109.19
_cell_angle_gamma 90.00
_space_group_name_H-M_alt 'C 1 2/m 1'
_space_group_IT_number 12
_space_group_name_Hall '-C 2y'
loop_
_atom_site_label
_atom_site_fract_x
_atom_site_fract_y
_atom_site_fract_z
Np1 0.000 0.000 0.000
Ag1 0.169 0.000 0.670
I1 0.077 0.500 0.188
I2 0.087 0.178 0.810
I3 0.230 0.000 0.329


(3)
# SrCd4Rh (PBE, optimized geometry)
# V = 135.6 Å³/f.u.
# Energy of formation from the pure elements = -0.064 eV/atom
# Spin magnetization = 0.00 μB per formula unit
# ΔE to the lowest computed polymorph = 4.69 kcal/mol of atoms
# Raw total energy = -2.18 eV per atom
data_SrCd4Rh
_cell_length_a 8.154
_cell_length_b 8.154
_cell_length_c 8.154
_cell_angle_alpha 90.00
_cell_angle_beta 90.00
_cell_angle_gamma 90.00
_space_group_name_H-M_alt 'F -4 3 m'
_space_group_IT_number 216
_space_group_name_Hall 'F -4 2 3'
loop_
_atom_site_label
_atom_site_fract_x
_atom_site_fract_y
_atom_site_fract_z
Sr1 0.000 0.000 0.000
Cd1 0.124 0.124 0.624
Rh1 0.250 0.250 0.250


(4)
# PPtPb4 (PBE, optimized geometry)
# V = 170.4 Å³/f.u.
# Energy of formation from the pure elements = 0.772 eV/atom
# Spin magnetization = 0.00 μB per formula unit
# Raw total energy = -3.61 eV per atom
data_PPtPb4
_cell_length_a 8.800
_cell_length_b 8.800
_cell_length_c 8.800
_cell_angle_alpha 90.00
_cell_angle_beta 90.00
_cell_angle_gamma 90.00
_space_group_name_H-M_alt 'F -4 3 m'
_space_group_IT_number 216
_space_group_name_Hall 'F -4 2 3'
loop_
_atom_site_label
_atom_site_fract_x
_atom_site_fract_y
_atom_site_fract_z
P1 0.000 0.000 0.000
Pt1 0.250 0.250 0.250
Pb1 0.125 0.125 0.625